(1)
# NdThIr (PBE-GGA, relaxed)
data_NdThIr
_symmetry_space_group_name_H-M 'P 1 21/c 1'
_symmetry_Int_Tables_number 14
_cell_length_a 7.130
_cell_length_b 6.073
_cell_length_c 10.388
_cell_angle_alpha 90.00
_cell_angle_beta 127.26
_cell_angle_gamma 90.00
loop_
_symmetry_equiv_pos_as_xyz
'x,y,z'
'-x,-y,-z'
'-x,y+1/2,-z+1/2'
'x,-y+1/2,z+1/2'
loop_
_atom_site_label
_atom_site_type_symbol
_atom_site_fract_x
_atom_site_fract_y
_atom_site_fract_z
Nd1 Nd 0.195 0.134 0.378
Th1 Th 0.331 0.631 0.627
Ir1 Ir 0.322 0.645 0.354
# polymorph energy (0 for the lowest one) = 0.053 eV per atom



(2)
Nd5ThIr4: relaxed, PBE-GGA.

Cell and atoms, written as CIF:
```
data_Nd5ThIr4
_symmetry_space_group_name_H-M 'C 1 2/m 1'
_symmetry_Int_Tables_number 12
_cell_length_a 18.798
_cell_length_b 4.270
_cell_length_c 7.761
_cell_angle_alpha 90.00
_cell_angle_beta 114.32
_cell_angle_gamma 90.00
loop_
_symmetry_equiv_pos_as_xyz
'x,y,z'
'-x,-y,-z'
'-x,y,-z'
'x,-y,z'
'x+1/2,y+1/2,z'
'-x+1/2,-y+1/2,-z'
'-x+1/2,y+1/2,-z'
'x+1/2,-y+1/2,z'
loop_
_atom_site_label
_atom_site_type_symbol
_atom_site_fract_x
_atom_site_fract_y
_atom_site_fract_z
Nd1 Nd 0.000 0.000 0.000
Nd2 Nd 0.166 0.500 0.424
Nd3 Nd 0.166 0.500 0.909
Th1 Th 0.000 0.000 0.500
Ir1 Ir 0.000 0.500 0.253
Ir2 Ir 0.194 0.000 0.694
```



(3)
# NdThIr (PBE-GGA, relaxed)
data_NdThIr
_symmetry_space_group_name_H-M 'F -4 3 m'
_symmetry_Int_Tables_number 216
_symmetry_space_group_name_Hall 'F -4 2 3'
_cell_length_a 7.030
_cell_length_b 7.030
_cell_length_c 7.030
_cell_angle_alpha 90.00
_cell_angle_beta 90.00
_cell_angle_gamma 90.00
loop_
_atom_site_label
_atom_site_type_symbol
_atom_site_fract_x
_atom_site_fract_y
_atom_site_fract_z
Nd1 Nd 0.000 0.000 0.000
Th1 Th 0.000 0.000 0.500
Ir1 Ir 0.250 0.250 0.250
# polymorph energy (0 for the lowest one) = 0.071 eV per atom



(4)
# NdTh2Ir (PBE-GGA, relaxed)
data_NdTh2Ir
_symmetry_space_group_name_H-M 'P n m a'
_symmetry_Int_Tables_number 62
_cell_length_a 7.311
_cell_length_b 10.017
_cell_length_c 6.383
_cell_angle_alpha 90.00
_cell_angle_beta 90.00
_cell_angle_gamma 90.00
loop_
_symmetry_equiv_pos_as_xyz
'x,y,z'
'-x,-y,-z'
'-x+1/2,-y,z+1/2'
'x+1/2,y,-z+1/2'
'x+1/2,-y+1/2,-z+1/2'
'-x+1/2,y+1/2,z+1/2'
'-x,y+1/2,-z'
'x,-y+1/2,z'
loop_
_atom_site_label
_atom_site_type_symbol
_atom_site_fract_x
_atom_site_fract_y
_atom_site_fract_z
Nd1 Nd 0.037 0.250 0.147
Th1 Th 0.179 0.061 0.658
Ir1 Ir 0.109 0.750 0.382
# polymorph energy (0 for the lowest one) = 0.000 eV per atom



no.,ΔE_f (eV per atom),raw total energy (eV per atom)
1,-0.49,-7.5047
2,-0.62,-7.2872
3,-0.47,-7.4874
4,-0.49,-7.6054